[1]
FeAgGeMo (PBE, optimized geometry); final energy = -24.9 eV/f.u.; offset from the most stable computed form = 0.000 eV per atom; symmetry = F-43m (216); crystal system = cubic
1.0
0.100 -3.327 2.868
1.407 0.681 4.106
-2.848 -0.104 3.343
Ag Fe Ge Mo
1 1 1 1
Direct
0.500 0.500 0.500
0.750 0.750 0.750
0.000 0.000 0.000
0.250 0.250 0.250

[2]
NbFeAgGe (PBE, optimized geometry); final energy = -24.9 eV/f.u.; offset from the most stable computed form = 0.000 eV per atom; symmetry = F-43m (216); crystal system = cubic
1.0
4.396 -0.127 0.776
1.518 -0.831 4.117
1.997 -3.891 0.900
Ag Fe Ge Nb
1 1 1 1
Direct
0.500 0.500 0.500
0.750 0.750 0.750
0.000 0.000 0.000
0.250 0.250 0.250

[3]
FeNiAgGe (PBE, optimized geometry); final energy = -20.5 eV/f.u.; offset from the most stable computed form = 0.057 eV per atom; symmetry = F-43m (216); crystal system = cubic
1.0
0.000 3.036 3.036
3.036 0.000 3.036
3.036 3.036 0.000
Ag Fe Ge Ni
1 1 1 1
Direct
0.250 0.250 0.250
0.750 0.750 0.750
0.000 0.000 0.000
0.500 0.500 0.500

[4]
FeNiAgGe (PBE, optimized geometry); final energy = -20.7 eV/f.u.; offset from the most stable computed form = 0.000 eV per atom; symmetry = F-43m (216); crystal system = cubic
1.0
1.045 -2.342 3.404
-0.986 1.370 3.914
-3.039 -1.971 2.245
Ag Fe Ge Ni
1 1 1 1
Direct
0.500 0.500 0.500
0.750 0.750 0.750
0.000 0.000 0.000
0.250 0.250 0.250